Record 1
SrLiMg3: relaxed, PBE.

Calculated values
- E above lowest polymorph (meV per atom) = 0
- formation energy (meV/atom) = -15
- total magnetic moment (μB per formula unit) = 0.0

a b c (Å): 7.444 4.685 8.325
angles (deg): 90.00 104.52 90.00
Space group Pm (No. 6)
Asymmetric unit:
Sr 0.000 0.000 0.000 x1
Sr 0.355 0.500 0.354 x1
Li 0.654 0.500 0.930 x1
Li 0.700 0.000 0.425 x1
Mg 0.090 0.000 0.544 x1
Mg 0.263 0.500 0.807 x1
Mg 0.511 0.000 0.072 x1
Mg 0.526 0.000 0.705 x1
Mg 0.827 0.500 0.650 x1
Mg 0.842 0.500 0.282 x1

=====

Record 2
KZnBi2: relaxed, PBE.

Calculated values
- formation energy (meV/atom) = -43
- total magnetic moment (μB per formula unit) = 0.0

a b c (Å): 5.840 5.840 18.524
angles (deg): 90.00 90.00 90.00
Space group I-42d (No. 122)
Asymmetric unit:
K 0.000 0.000 0.000 x4
Zn 0.000 0.000 0.500 x4
Bi 0.121 0.250 0.625 x8

=====

Record 3
Nb2CrHRu: relaxed, PBE.

Calculated values
- E above lowest polymorph (meV per atom) = 0
- total magnetic moment (μB per formula unit) = 0.0

a b c (Å): 4.369 4.369 3.337
angles (deg): 90.00 90.00 90.00
Space group P4/mmm (No. 123)
Asymmetric unit:
Nb 0.000 0.500 0.000 x2
Cr 0.000 0.000 0.500 x1
H 0.000 0.000 0.000 x1
Ru 0.500 0.500 0.500 x1

=====

Record 4
PmNd2Tm4Th: relaxed, PBE.

Calculated values
- formation energy (meV/atom) = 28
- total magnetic moment (μB per formula unit) = 0.0

a b c (Å): 5.092 5.102 9.874
angles (deg): 90.00 90.04 90.00
Space group P2/m (No. 10)
Asymmetric unit:
Pm 0.000 0.000 0.000 x1
Nd 0.000 0.000 0.500 x1
Nd 0.500 0.500 0.000 x1
Tm 0.000 0.500 0.254 x2
Tm 0.500 0.000 0.254 x2
Th 0.500 0.500 0.500 x1

=====

Record 5
SmClF: relaxed, PBE.

Calculated values
- E above lowest polymorph (meV per atom) = 199
- E_form (uncorrected) (meV per atom) = -2501
- total magnetic moment (μB per formula unit) = 0.0

a b c (Å): 3.331 3.331 10.043
angles (deg): 90.00 90.00 90.00
Space group I4mm (No. 107)
Asymmetric unit:
Sm 0.000 0.000 0.000 x2
Cl 0.000 0.000 0.327 x2
F 0.000 0.000 0.603 x2

=====

Record 6
NpBiSe3: relaxed, PBE.

Calculated values
- E_form (uncorrected) (meV per atom) = -702
- total magnetic moment (μB per formula unit) = 4.0

a b c (Å): 4.230 20.773 7.314
angles (deg): 90.00 90.00 90.00
Space group Cmc2_1 (No. 36)
Asymmetric unit:
Np 0.000 0.171 0.000 x4
Bi 0.000 0.352 0.003 x4
Se 0.000 0.085 0.315 x4
Se 0.000 0.251 0.669 x4
Se 0.000 0.407 0.356 x4

=====

Record 7
SrP2S2: relaxed, PBE.

Calculated values
- E above lowest polymorph (meV per atom) = 1860
- E_form (uncorrected) (meV per atom) = 1438
- total magnetic moment (μB per formula unit) = 3.6

a b c (Å): 5.695 5.695 5.480
angles (deg): 90.00 90.00 90.00
Space group P4/mmm (No. 123)
Asymmetric unit:
Sr 0.000 0.000 0.000 x1
P 0.000 0.500 0.000 x2
S 0.000 0.000 0.500 x1
S 0.500 0.500 0.500 x1

=====

Record 8
GaCuOsAu2: relaxed, PBE.

Calculated values
- formation energy (meV/atom) = 1194
- total magnetic moment (μB per formula unit) = 0.0

a b c (Å): 4.718 4.718 4.621
angles (deg): 90.00 90.00 90.00
Space group P4/mmm (No. 123)
Asymmetric unit:
Ga 0.000 0.000 0.000 x1
Cu 0.500 0.500 0.500 x1
Os 0.000 0.000 0.500 x1
Au 0.000 0.500 0.000 x2

=====

Record 9
BaAl2PtPb: relaxed, PBE.

Calculated values
- formation energy (meV/atom) = -296
- total magnetic moment (μB per formula unit) = 0.0

a b c (Å): 4.929 4.929 5.991
angles (deg): 90.00 90.00 90.00
Space group P4/mmm (No. 123)
Asymmetric unit:
Ba 0.000 0.000 0.000 x1
Al 0.000 0.500 0.500 x2
Pt 0.000 0.000 0.500 x1
Pb 0.500 0.500 0.000 x1

=====

Record 10
Sm3Ag2Hg8: relaxed, PBE.

Calculated values
- formation energy (meV/atom) = -89
- total magnetic moment (μB per formula unit) = 0.0

a b c (Å): 5.9640 5.9640 33.0822
angles (deg): 90.00 90.00 120.00
Space group R-3m (No. 166, hexagonal axes)
Asymmetric unit:
Sm 0.0000 0.0000 0.0000 x3
Sm 0.0000 0.0000 0.1902 x6
Ag 0.0000 0.0000 0.3671 x6
Hg 0.0000 0.0000 0.2853 x6
Hg 0.0006 0.5003 0.7720 x18

=====

Record 11
CaInS2Cl: relaxed, PBE.

Calculated values
- E above lowest polymorph (meV per atom) = 290
- E_form (uncorrected) (meV per atom) = -589
- total magnetic moment (μB per formula unit) = 2.0

a b c (Å): 5.425 5.425 5.313
angles (deg): 90.00 90.00 90.00
Space group P4/mmm (No. 123)
Asymmetric unit:
Ca 0.000 0.000 0.000 x1
In 0.500 0.500 0.500 x1
S 0.000 0.500 0.000 x2
Cl 0.000 0.000 0.500 x1

=====

Record 12
Pm3Er5: relaxed, PBE.

Calculated values
- E above lowest polymorph (meV per atom) = 0
- formation energy (meV/atom) = 19
- total magnetic moment (μB per formula unit) = 0.0

a b c (Å): 3.621 5.679 12.571
angles (deg): 90.00 90.00 90.00
Space group Pmm2 (No. 25)
Asymmetric unit:
Pm 0.000 0.000 0.000 x1
Pm 0.000 0.500 0.175 x1
Pm 0.500 0.000 0.256 x1
Er 0.000 0.000 0.507 x1
Er 0.000 0.500 0.670 x1
Er 0.500 0.000 0.751 x1
Er 0.500 0.500 0.426 x1
Er 0.500 0.500 0.915 x1

=====

Record 13
HoPaPb2O8: relaxed, PBE.

Calculated values
- E_form (uncorrected) (meV per atom) = -2083
- total magnetic moment (μB per formula unit) = 0.0

a b c (Å): 7.215 7.215 7.248
angles (deg): 90.00 90.00 90.00
Space group I-4m2 (No. 119)
Asymmetric unit:
Ho 0.000 0.000 0.000 x2
Pa 0.000 0.500 0.250 x2
Pb 0.000 0.000 0.500 x2
Pb 0.000 0.500 0.750 x2
O 0.000 0.192 0.286 x8
O 0.000 0.316 0.971 x8

=====

Record 14
AlCrRu2: relaxed, PBE.

Calculated values
- formation energy (meV/atom) = 352
- total magnetic moment (μB per formula unit) = 0.0

a b c (Å): 6.703 6.703 5.353
angles (deg): 90.00 90.00 90.00
Space group I-42d (No. 122)
Asymmetric unit:
Al 0.000 0.000 0.000 x4
Cr 0.000 0.000 0.500 x4
Ru 0.209 0.250 0.625 x8

=====

Record 15
Ag5Hg3: relaxed, PBE.

Calculated values
- E above lowest polymorph (meV per atom) = 58
- formation energy (meV/atom) = 122
- total magnetic moment (μB per formula unit) = 0.0

a b c (Å): 8.3143 8.3143 5.4947
angles (deg): 90.00 90.00 120.00
Space group P6_3/mcm (No. 193)
Asymmetric unit:
Ag 0.0000 0.2069 0.2500 x6
Ag 0.3333 0.6667 0.0000 x4
Hg 0.0000 0.3986 0.7500 x6

=====

Record 16
CsY3Tl: relaxed, PBE.

Calculated values
- E above lowest polymorph (meV per atom) = 0
- formation energy (meV/atom) = 445
- total magnetic moment (μB per formula unit) = 0.0

a b c (Å): 5.969 5.969 5.969
angles (deg): 90.00 90.00 90.00
Space group Pm-3m (No. 221)
Asymmetric unit:
Cs 0.000 0.000 0.000 x1
Y 0.000 0.500 0.500 x3
Tl 0.500 0.500 0.500 x1

=====

Record 17
Pr4Se3O2: relaxed, PBE.

Calculated values
- E above lowest polymorph (meV per atom) = 0
- E_form (uncorrected) (meV per atom) = -2392
- total magnetic moment (μB per formula unit) = 0.0

a b c (Å): 13.369 4.060 9.174
angles (deg): 90.00 122.37 90.00
Space group C2/m (No. 12)
Asymmetric unit:
Pr 0.108 0.000 0.399 x4
Pr 0.183 0.500 0.105 x4
Se 0.000 0.000 0.000 x2
Se 0.114 0.500 0.718 x4
O 0.189 0.500 0.370 x4

=====

Record 18
MnPd2Cl: relaxed, PBE.

Calculated values
- E above lowest polymorph (meV per atom) = 48
- E_form (uncorrected) (meV per atom) = 206
- total magnetic moment (μB per formula unit) = 4.6

a b c (Å): 7.187 7.187 5.419
angles (deg): 90.00 90.00 90.00
Space group I-42d (No. 122)
Asymmetric unit:
Mn 0.000 0.000 0.000 x4
Pd 0.245 0.250 0.125 x8
Cl 0.000 0.000 0.500 x4

=====

Record 19
NpVSe4: relaxed, PBE.

Calculated values
- E_form (uncorrected) (meV per atom) = -779
- total magnetic moment (μB per formula unit) = 4.0

a b c (Å): 7.901 13.548 6.387
angles (deg): 90.00 125.84 90.00
Space group C2/c (No. 15)
Asymmetric unit:
Np 0.000 0.134 0.250 x4
V 0.000 0.426 0.750 x4
Se 0.118 0.288 0.614 x8
Se 0.247 0.037 0.766 x8

=====

Record 20
Ce2PmIr2: relaxed, PBE.

Calculated values
- E above lowest polymorph (meV per atom) = 0
- formation energy (meV/atom) = -582
- total magnetic moment (μB per formula unit) = 0.7

a b c (Å): 4.001 6.965 9.780
angles (deg): 85.70 78.25 73.40
Space group P-1 (No. 2)
Asymmetric unit:
Ce 0.059 0.065 0.317 x2
Ce 0.167 0.234 0.934 x2
Pm 0.315 0.524 0.346 x2
Ir 0.371 0.197 0.561 x2
Ir 0.414 0.796 0.874 x2